[1]
Below is a geometry-optimized Ga2CuHg structure, with properties calculated at the PBE-GGA level.

Structure (POSCAR):
```
Ga2CuHg
1.0
2.1001 1.2125 5.0740
-2.1001 1.2125 5.0740
0.0000 -2.4250 5.0740
Ga Cu Hg
2 1 1
direct
0.0000 0.0000 0.0000 Ga
0.2276 0.2276 0.2276 Ga
0.6213 0.6213 0.6213 Cu
0.4419 0.4419 0.4419 Hg
```

Calculated values
- Crystal system: trigonal
- Space group: R3m

=====

[2]
Below is a geometry-optimized Sc2MnCuSn structure, with properties calculated at the PBE-GGA level.

Structure (POSCAR):
```
Sc2MnCuSn
1.0
4.7357 0.0000 0.0000
0.0000 4.7357 0.0000
0.0000 0.0000 4.6336
Sc Mn Cu Sn
2 1 1 1
direct
0.0000 0.5000 0.0000 Sc
0.5000 0.0000 0.0000 Sc
0.0000 0.0000 0.0000 Mn
0.0000 0.0000 0.5000 Cu
0.5000 0.5000 0.5000 Sn
```

Calculated values
- Crystal system: tetragonal
- Space group: P4/mmm

=====

Number 1: total magnetization 0.00 Bohr magnetons per cell, ΔH_f (0 K) 0.06 eV per atom. Number 2: total magnetization 1.97 Bohr magnetons per cell, ΔH_f (0 K) 0.25 eV per atom.